A plane-wave DFT calculation with PBE-GGA was carried out for AcTmAgO4 after structural relaxation.

Properties
**Volume**: 277.67 Å³ per cell
**Formation energy from raw total energies**: -2.293 eV per atom
**SG**: Imma, No. 74
**Crystal system**: orthorhombic

a b c (Å): 7.061 7.234 7.234
angles (deg): 68.73 60.78 60.78
Fractional positions:
1 Ac 0.000 0.000 0.000
2 Ac 0.000 0.500 0.500
3 Tm 0.500 0.000 0.500
4 Tm 0.000 0.000 0.500
5 Ag 0.518 0.732 0.232
6 Ag 0.482 0.268 0.768
7 O 0.754 0.820 0.671
8 O 0.246 0.829 0.680
9 O 0.754 0.171 0.320
10 O 0.246 0.180 0.329
11 O 0.194 0.767 0.267
12 O 0.772 0.767 0.267
13 O 0.228 0.233 0.733
14 O 0.806 0.233 0.733